Arrangement w

A relaxed structure of LiTcMo. Source: Alexandria via LeMat-Bulk, functional PBE.

Cell and atoms, written as CIF:
```
data_LiTcMo
_cell_length_a 3.0186
_cell_length_b 4.3723
_cell_length_c 13.8433
_cell_angle_alpha 90.00
_cell_angle_beta 90.00
_cell_angle_gamma 90.00
_space_group_name_H-M_alt 'F m m 2'
_space_group_IT_number 42
_space_group_name_Hall 'F 2 -2'
loop_
_atom_site_label
_atom_site_type_symbol
_atom_site_fract_x
_atom_site_fract_y
_atom_site_fract_z
Li1 Li 0.0000 0.0000 0.0000
Tc1 Tc 0.0000 0.0000 0.3345
Mo1 Mo 0.0000 0.0000 0.6757
```

Computed properties:
For the density of states at the Fermi level, the calculation gives 0.89 states/eV per atom.

---

Arrangement x

A relaxed structure of LiTcMo. Source: Alexandria via LeMat-Bulk, functional PBE.

Cell and atoms, written as CIF:
```
data_LiTcMo
_cell_length_a 3.2204
_cell_length_b 3.2204
_cell_length_c 8.1931
_cell_angle_alpha 90.00
_cell_angle_beta 90.00
_cell_angle_gamma 90.00
_space_group_name_H-M_alt 'I 4 m m'
_space_group_IT_number 107
_space_group_name_Hall 'I 4 -2'
loop_
_atom_site_label
_atom_site_type_symbol
_atom_site_fract_x
_atom_site_fract_y
_atom_site_fract_z
Li1 Li 0.0000 0.0000 0.0000
Tc1 Tc 0.0000 0.0000 0.3338
Mo1 Mo 0.0000 0.0000 0.6748
```

Computed properties:
For the density of states at the Fermi level, the calculation gives 0.88 states/eV per atom.

---

Arrangement y

A relaxed structure of LiTcMo. Source: Alexandria via LeMat-Bulk, functional PBE.

Cell and atoms, written as CIF:
```
data_LiTcMo
_cell_length_a 5.8825
_cell_length_b 5.8825
_cell_length_c 5.8825
_cell_angle_alpha 90.00
_cell_angle_beta 90.00
_cell_angle_gamma 90.00
_space_group_name_H-M_alt 'F -4 3 m'
_space_group_IT_number 216
_space_group_name_Hall 'F -4 2 3'
loop_
_atom_site_label
_atom_site_type_symbol
_atom_site_fract_x
_atom_site_fract_y
_atom_site_fract_z
Li1 Li 0.0000 0.0000 0.0000
Tc1 Tc 0.2500 0.2500 0.7500
Mo1 Mo 0.0000 0.0000 0.5000
```

Computed properties:
For the density of states at the Fermi level, the calculation gives 0.88 states/eV per atom.

---

Unit: meV per atom. Relative energies: arrangement w 0; arrangement x 35; arrangement y 550.